GGA-PBE PaReSi2, optimized geometry; symmetry = R-3m; energy = -96.1 eV/cell; spin magnetization = 0.00 μB per atom; raw formation energy = 0.191 eV/atom
1.0
2.972 0.000 0.000
-1.486 2.574 0.000
0.000 0.000 28.768
Pa Re Si
3 3 6
direct
0.000 0.000 0.000 Pa
0.333 0.667 0.667 Pa
0.667 0.333 0.333 Pa
0.000 0.000 0.500 Re
0.333 0.667 0.167 Re
0.667 0.333 0.833 Re
0.000 0.000 0.102 Si
0.000 0.000 0.898 Si
0.333 0.667 0.565 Si
0.333 0.667 0.768 Si
0.667 0.333 0.232 Si
0.667 0.333 0.435 Si